# KMo2Br | Alexandria via LeMat-Bulk | meta-GGA SCAN | single point on PBEsol structure
data_KMo2Br
_space_group_name_H-M_alt 'R -3 m'
_space_group_IT_number 166
_space_group_name_Hall '-R 3 2"'
_cell_length_a 2.9583
_cell_length_b 2.9583
_cell_length_c 30.7596
_cell_angle_alpha 90.00
_cell_angle_beta 90.00
_cell_angle_gamma 120.00
loop_
_atom_site_label
_atom_site_fract_x
_atom_site_fract_y
_atom_site_fract_z
K1 0.0000 0.0000 0.0000
Mo1 0.0000 0.0000 0.2336
Br1 0.0000 0.0000 0.5000
# - total energy (Ha/atom) = -0.84997
# - spin magnetization (μB per atom) = 0.000
# - polymorph energy (0 for the lowest one) (meV per atom) = 936

---

# TaMoW | Alexandria via LeMat-Bulk | meta-GGA SCAN | single point on PBEsol structure
data_TaMoW
_space_group_name_H-M_alt 'I 4 m m'
_space_group_IT_number 107
_space_group_name_Hall 'I 4 -2'
_cell_length_a 3.1721
_cell_length_b 3.1721
_cell_length_c 9.5829
_cell_angle_alpha 90.00
_cell_angle_beta 90.00
_cell_angle_gamma 90.00
loop_
_atom_site_label
_atom_site_fract_x
_atom_site_fract_y
_atom_site_fract_z
Ta1 0.0000 0.0000 0.0000
Mo1 0.0000 0.0000 0.6689
W1 0.0000 0.0000 0.3283
# - total energy (Ha/atom) = -2.10250
# - spin magnetization (μB per atom) = 0.000
# - polymorph energy (0 for the lowest one) (meV per atom) = 0
# - ΔH_f (0 K) (meV/atom) = -160

---

# BaScFe2 | Alexandria via LeMat-Bulk | meta-GGA SCAN | single point on PBEsol structure
data_BaScFe2
_space_group_name_H-M_alt 'F m -3 m'
_space_group_IT_number 225
_space_group_name_Hall '-F 4 2 3'
_cell_length_a 6.8079
_cell_length_b 6.8079
_cell_length_c 6.8079
_cell_angle_alpha 90.00
_cell_angle_beta 90.00
_cell_angle_gamma 90.00
loop_
_atom_site_label
_atom_site_fract_x
_atom_site_fract_y
_atom_site_fract_z
Ba1 0.0000 0.0000 0.0000
Sc1 0.0000 0.0000 0.5000
Fe1 0.2500 0.2500 0.2500
# - total energy (Ha/atom) = -0.79693
# - spin magnetization (μB per atom) = 0.941
# - polymorph energy (0 for the lowest one) (meV per atom) = 474
# - ΔH_f (0 K) (meV/atom) = 826

---

# BaMnO3 | Alexandria via LeMat-Bulk | meta-GGA SCAN | single point on PBEsol structure
data_BaMnO3
_space_group_name_H-M_alt 'P 63 m c'
_space_group_IT_number 186
_space_group_name_Hall 'P 6c -2c'
_cell_length_a 5.6686
_cell_length_b 5.6686
_cell_length_c 4.8574
_cell_angle_alpha 90.00
_cell_angle_beta 90.00
_cell_angle_gamma 120.00
loop_
_atom_site_label
_atom_site_fract_x
_atom_site_fract_y
_atom_site_fract_z
Ba1 0.3333 0.6667 0.0000
Mn1 0.0000 0.0000 0.2337
O1 0.1490 0.2980 0.4829
# - total energy (Ha/atom) = -0.65977
# - spin magnetization (μB per atom) = 0.599